YScTa2Ge2 PBE relaxed; magnetization = 0.98 μB/cell; SG = P4mm (99); total DFT energy (no corrections) = -8.214 eV/atom; density = 8.734 Mg/m³
1.0
-3.067 -2.492 0.527
2.547 -3.017 0.555
0.099 1.469 7.524
Ge Sc Ta Y
2 1 2 1
Direct
0.000 0.000 0.251 Ge
0.500 0.500 0.744 Ge
0.000 0.000 0.654 Sc
0.500 0.000 0.996 Ta
0.000 0.500 0.996 Ta
0.500 0.500 0.358 Y